Entry 1:
## CaGa2Ni2 (meta-GGA SCAN)

Data for CaGa2Ni2 at its PBEsol-relaxed geometry.

extended XYZ file:
```
5
Lattice="-1.963 1.963 5.232 1.963 -1.963 5.232 1.963 1.963 -5.232" Properties=species:S:1:pos:R:3 pbc="T T T"
Ca 0.000 0.000 0.000
Ga 0.000 0.000 3.918
Ga 0.000 0.000 6.546
Ni 1.963 0.000 2.616
Ni 0.000 1.963 2.616
```

M_tot, μB/atom: 0.038
E_form, eV/atom: -0.4708
Space group: No. 139



Entry 2:
## Mg2OsCl (meta-GGA SCAN)

Data for Mg2OsCl at its PBEsol-relaxed geometry.

extended XYZ file:
```
4
Lattice="1.578 -2.423 0.000 1.578 2.423 0.000 0.000 0.000 9.550" Properties=species:S:1:pos:R:3 pbc="T T T"
Mg 0.000 0.000 0.000
Mg 1.578 0.000 2.637
Os 0.000 0.000 4.723
Cl 1.578 0.000 7.855
```

M_tot, μB/atom: 0.000
Distance to the lowest polymorph of the same formula, meV/atom: 473
Uncorrected formation energy, eV/atom: 0.238
Space group: No. 35



Entry 3:
## Y2TaSb (meta-GGA SCAN)

Data for Y2TaSb at its PBEsol-relaxed geometry.

extended XYZ file:
```
4
Lattice="4.700 0.000 0.000 0.000 4.700 0.000 0.000 0.000 4.212" Properties=species:S:1:pos:R:3 pbc="T T T"
Y 0.000 2.350 0.000
Y 2.350 0.000 0.000
Ta 0.000 0.000 2.106
Sb 2.350 2.350 2.106
```

M_tot, μB/atom: 0.283
Uncorrected formation energy, eV/atom: -0.143
Space group: No. 123